Crystalline MgHgAu2 at its relaxed geometry. Source: Alexandria via LeMat-Bulk, functional PBE.

Cell and atoms, written as extended XYZ:
```
4
Lattice="-2.2117 2.2117 3.8886 2.2117 -2.2117 3.8886 2.2117 2.2117 -3.8886" Properties=species:S:1:pos:R:3 pbc="T T T"
Mg 0.0000 0.0000 0.0000
Hg 0.0000 0.0000 3.8886
Au 2.2117 0.0000 1.9443
Au 0.0000 2.2117 1.9443
```

ΔE_f, eV per atom: -0.270
Theoretical density, g cm⁻³: 13.506

***

Crystalline Mg12Hg5Au3 at its relaxed geometry. Source: Alexandria via LeMat-Bulk, functional PBE.

Cell and atoms, written as extended XYZ:
```
80
Lattice="-8.0718 8.0718 8.0718 8.0718 -8.0718 8.0718 8.0718 8.0718 -8.0718" Properties=species:S:1:pos:R:3 pbc="T T T"
Mg 2.4301 -0.2097 1.3158
Mg 9.6776 5.3517 -4.2456
Mg 7.8621 -1.3158 2.4301
Mg 12.3175 -1.6058 2.7201
Mg 10.5020 0.2097 1.3158
Mg 9.6776 -2.7201 4.2456
Mg 1.3158 2.4301 -0.2097
Mg 10.7919 3.8262 -1.6058
Mg 5.3517 4.2456 -1.6058
Mg 6.7560 2.4301 0.2097
Mg -0.2097 1.3158 2.4301
Mg 4.2456 -1.6058 5.3517
Mg 7.8621 6.7560 -2.4301
Mg 4.2456 1.6058 2.7201
Mg 6.7560 -2.4301 7.8621
Mg 5.3517 -4.2456 9.6776
Mg 2.7201 4.2456 1.6058
Mg 9.3877 5.6417 0.2097
Mg 2.4301 7.8621 -1.3158
Mg 9.6776 2.7201 3.8262
Mg 4.2456 9.6776 -2.7201
Mg 1.6058 2.7201 4.2456
Mg 2.4301 0.2097 6.7560
Mg 7.8621 1.3158 5.6417
Mg 0.2097 6.7560 2.4301
Mg 5.6417 7.8621 1.3158
Mg 6.4661 5.3517 3.8262
Mg 3.8262 -1.6058 10.7919
Mg -1.6058 5.3517 4.2456
Mg 5.6417 0.2097 9.3877
Mg -1.3158 2.4301 7.8621
Mg 5.3517 3.8262 6.4661
Mg 2.7201 12.3175 -1.6058
Mg 1.3158 10.5020 0.2097
Mg 3.8262 6.4661 5.3517
Mg 0.2097 1.3158 10.5020
Mg 3.8262 9.6776 2.7201
Mg 8.2816 6.7560 5.6417
Mg 1.3158 5.6417 7.8621
Mg 2.7201 3.8262 9.6776
Mg -2.7201 4.2456 9.6776
Mg 6.7560 5.6417 8.2816
Mg -1.6058 10.7919 3.8262
Mg -2.4301 7.8621 6.7560
Mg -4.2456 9.6776 5.3517
Mg 0.2097 9.3877 5.6417
Mg -1.6058 2.7201 12.3175
Mg 5.6417 8.2816 6.7560
Hg 0.0000 0.0000 0.0000
Hg 4.0359 4.0359 -4.0359
Hg 4.0359 -4.0359 4.0359
Hg 8.0718 0.0000 0.0000
Hg 12.1077 2.0180 0.0000
Hg 8.0718 -4.0359 6.0539
Hg 6.0539 8.0718 -4.0359
Hg 6.0539 0.0000 4.0359
Hg 4.0359 6.0539 0.0000
Hg 8.0718 4.0359 2.0180
Hg -4.0359 4.0359 4.0359
Hg 0.0000 8.0718 0.0000
Hg 0.0000 0.0000 8.0718
Hg 4.0359 4.0359 4.0359
Hg 0.0000 4.0359 6.0539
Hg 4.0359 2.0180 8.0718
Hg 2.0180 8.0718 4.0359
Hg 2.0180 0.0000 12.1077
Hg 0.0000 12.1077 2.0180
Hg -4.0359 6.0539 8.0718
Au 4.0359 2.0180 0.0000
Au 8.0718 4.0359 -2.0180
Au 2.0180 0.0000 4.0359
Au 10.0898 0.0000 4.0359
Au 0.0000 4.0359 2.0180
Au 4.0359 -2.0180 8.0718
Au 4.0359 10.0898 0.0000
Au 8.0718 4.0359 6.0539
Au -2.0180 8.0718 4.0359
Au 6.0539 8.0718 4.0359
Au 0.0000 4.0359 10.0898
Au 4.0359 6.0539 8.0718
```

ΔE_f, eV per atom: -0.076
Theoretical density, g cm⁻³: 5.953

***

Crystalline Mg3HgAu at its relaxed geometry. Source: Alexandria via LeMat-Bulk, functional PBE.

Cell and atoms, written as extended XYZ:
```
20
Lattice="6.2438 -5.1315 0.0000 6.2438 5.1315 0.0000 0.0000 0.0000 6.9277" Properties=species:S:1:pos:R:3 pbc="T T T"
Mg 4.3704 3.3519 2.7561
Mg 6.2438 4.5106 5.3739
Mg 4.3704 1.7796 6.2199
Mg 8.1172 3.3519 2.7561
Mg 6.2438 0.6210 1.9100
Mg 8.1172 1.7796 6.2199
Mg 4.3704 -1.7796 0.7078
Mg 6.2438 -0.6210 5.0176
Mg 4.3704 -3.3519 4.1716
Mg 8.1172 -1.7796 0.7078
Mg 6.2438 -4.5106 1.5538
Mg 8.1172 -3.3519 4.1716
Hg 3.1219 0.7204 1.7319
Hg 3.1219 -0.7204 5.1958
Hg 9.3657 0.7204 1.7319
Hg 9.3657 -0.7204 5.1958
Au 6.2438 3.1376 0.7880
Au 6.2438 1.9940 4.2518
Au 6.2438 -1.9940 2.6759
Au 6.2438 -3.1376 6.1397
```

Energy relative to the lowest polymorph listed for this composition, meV/atom: 6.0
ΔE_f, eV per atom: -0.313
Theoretical density, g cm⁻³: 7.039

***

Crystalline Mg5Hg4Au at its relaxed geometry. Source: Alexandria via LeMat-Bulk, functional PBE.

Cell and atoms, written as extended XYZ:
```
10
Lattice="3.4295 0.0000 0.0000 0.0000 3.4295 0.0000 0.0000 0.0000 17.5305" Properties=species:S:1:pos:R:3 pbc="T T T"
Mg 0.0000 0.0000 0.0000
Mg 0.0000 0.0000 3.5631
Mg 0.0000 0.0000 7.2144
Mg 0.0000 0.0000 10.3161
Mg 0.0000 0.0000 13.9674
Hg 1.7147 1.7147 1.7836
Hg 1.7147 1.7147 5.3766
Hg 1.7147 1.7147 12.1539
Hg 1.7147 1.7147 15.7469
Au 1.7147 1.7147 8.7652
```

ΔE_f, eV per atom: -0.294
Theoretical density, g cm⁻³: 9.027